Entry 1:
A geometry-optimized BiIr3S structure, computed with PBE-GGA.

Geometry as POSCAR:
```
BiIr3S
1.0
-0.453 -3.959 3.045
1.373 -3.038 -3.746
4.802 0.495 1.358
S Ir Bi
1 3 1
Direct
0.500 0.500 0.500 S
0.000 0.500 0.000 Ir
0.000 0.000 0.500 Ir
0.500 0.000 0.000 Ir
0.000 0.000 0.000 Bi
```

Magnetic moment   2.1 Bohr magnetons per cell
ΔE to the lowest computed polymorph   1.739 eV/atom
ΔE_f (raw)   2.44 eV/atom

***

Entry 2:
A geometry-optimized TlReCl2 structure, computed with PBE-GGA.

Geometry as POSCAR:
```
TlReCl2
1.0
6.047 0.000 0.000
0.000 6.047 0.000
3.023 3.023 6.267
Re Tl Cl
2 2 4
Direct
0.500 0.500 0.000 Re
0.250 0.750 0.500 Re
0.000 0.000 0.000 Tl
0.750 0.250 0.500 Tl
0.503 0.125 0.250 Cl
0.247 0.625 0.250 Cl
0.375 0.497 0.750 Cl
0.875 0.753 0.750 Cl
```

Magnetic moment   0.0 Bohr magnetons per cell
ΔE to the lowest computed polymorph   0.480 eV/atom
ΔE_f (raw)   0.57 eV/atom

***

Entry 3:
A geometry-optimized HoScPb2 structure, computed with PBE-GGA.

Geometry as POSCAR:
```
HoScPb2
1.0
-2.705 0.183 -3.763
-4.615 0.052 0.462
-2.342 6.541 -0.857
Ho Sc Pb
1 1 2
Direct
0.671 0.671 0.986 Ho
0.494 0.494 0.519 Sc
0.088 0.088 0.737 Pb
0.247 0.247 0.258 Pb
```

Magnetic moment   0.0 Bohr magnetons per cell
Calculated formation energy   -0.277 eV/atom

***

Entry 4:
A geometry-optimized CsCa2InCl8 structure, computed with PBE-GGA.

Geometry as POSCAR:
```
CsCa2InCl8
1.0
6.564 0.048 0.002
0.102 6.408 0.002
0.015 0.022 8.901
Cs Ca In Cl
1 2 1 8
Direct
0.000 0.000 0.500 Cs
0.500 0.500 0.752 Ca
0.500 0.500 0.248 Ca
0.000 0.000 0.000 In
0.162 0.761 0.196 Cl
0.678 0.745 0.000 Cl
0.837 0.237 0.195 Cl
0.838 0.239 0.804 Cl
0.322 0.255 0.000 Cl
0.163 0.763 0.805 Cl
0.588 0.730 0.500 Cl
0.412 0.270 0.500 Cl
```

Magnetic moment   0.0 Bohr magnetons per cell
ΔE_f (raw)   -1.82 eV/atom